# 1
This record from the Alexandria database describes Se2BrOF at its PBEsol-relaxed geometry. The functional is meta-GGA SCAN.

abc: 4.2542 4.2542 4.7435
angles: 90.00 90.00 90.00
Last column: nearest neighbours and their distance in Å.
Element x y z (fractional)
Se 0.0000 0.5000 0.0000  2 O 2.13
Se 0.5000 0.0000 0.0000  2 O 2.13
F 0.5000 0.5000 0.5000  4 Br 3.01, 8 Se 3.19
Br 0.0000 0.0000 0.5000  2 O 2.37
O 0.0000 0.0000 0.0000  4 Se 2.13, 2 Br 2.37

Values from the calculation:
Its calculated volume is 86 Å³/cell. The crystal system is tetragonal.


# 2
This record from the Alexandria database describes SiBrOF2 at its PBEsol-relaxed geometry. The functional is meta-GGA SCAN.

abc: 3.9327 4.4992 4.4992
angles: 90.00 90.00 90.00
Last column: nearest neighbours and their distance in Å.
Element x y z (fractional)
O 0.5000 0.0000 0.0000  2 Br 1.97
Br 0.0000 0.0000 0.0000  2 O 1.97
F 0.0000 0.0000 0.5000  2 Br 2.25
F 0.0000 0.5000 0.0000  2 Br 2.25
Si 0.5000 0.5000 0.5000  8 F 2.99, 4 O 3.18

Values from the calculation:
Its calculated volume is 80 Å³/cell. The crystal system is tetragonal.


no.,formation energy from raw total energies (eV/f.u.),density of states at the Fermi level (states/eV/atom)
1,2.9,1.083
2,1.7,0.709